Computed, not measured: a geometry-optimized SrGa4O7 structure at the PBE level of DFT.

a b c (Å): 13.648 9.316 5.775
angles (deg): 90.00 105.46 90.00
Space group C2/c (No. 15)
Inequivalent atoms, fractional coordinates:
Sr  0.000  0.189  0.250 [4 per cell]
Ga  0.119  0.438  0.759 [8 per cell]
Ga  0.168  0.087  0.800 [8 per cell]
O  0.000  0.466  0.250 [4 per cell]
O  0.117  0.048  0.059 [8 per cell]
O  0.120  0.256  0.646 [8 per cell]
O  0.189  0.438  0.093 [8 per cell]

* energy above the lowest structure with this stoichiometry: 0.0 meV per atom
* magnetization: 0.00 μB/f.u.